DFT (PBE-GGA) results for a geometry-optimized RbPO2 structure.

Calculated values
DOS at the Fermi energy: 0.29 states/eV/f.u.
Raw total energy: -5.114 eV/atom
Raw formation energy: -1.040 eV per atom

Lattice parameters (Å, degrees): 5.623 5.623 9.612 90.00 90.00 90.00
Positions (direct):
Rb  0.000  0.000  0.000
Rb  0.000  0.500  0.250
Rb  0.500  0.000  0.750
Rb  0.500  0.500  0.500
P  0.000  0.000  0.500
P  0.000  0.500  0.750
P  0.500  0.000  0.250
P  0.500  0.500  0.000
O  0.078  0.250  0.625
O  0.250  0.578  0.875
O  0.250  0.922  0.375
O  0.422  0.250  0.125
O  0.578  0.750  0.125
O  0.750  0.078  0.375
O  0.750  0.422  0.875
O  0.922  0.750  0.625